Below is crystalline PuAl4Au2 at its relaxed geometry, with properties calculated at the PBE level.

Cell lengths 17.3759, 4.3783, 6.8536 Å; angles 90.00, 90.00, 90.00 degrees
Last column: nearest neighbours and their distance in Å.
Space group Pnma (No. 62)
Unique sites:
1 Pu 0.1394 0.2500 0.0098 x4  9 Al 3.04-3.34, 4 Au 3.27-3.34
2 Al 0.0361 0.7500 0.8487 x4  3 Au 2.61-2.75, 2 Al 2.78-2.88
3 Al 0.0679 0.2500 0.4782 x4  4 Au 2.59-2.75, 1 Al 2.88
4 Al 0.1854 0.7500 0.3210 x4  4 Au 2.63-2.66, 1 Al 2.79
5 Al 0.1889 0.7500 0.7279 x4  3 Au 2.63-2.64, 2 Al 2.78-2.79
6 Au 0.0364 0.7500 0.2500 x4  7 Al 2.60-2.75
7 Au 0.2157 0.2500 0.5272 x4  7 Al 2.59-2.66

Computed properties:
V: 130.4 Å³/f.u.
magnetic moment: 0.773 μB/atom
energy: -0.4103 Ry per atom

=====

Below is crystalline Pu5Al2Au12 at its relaxed geometry, with properties calculated at the PBE level.

Cell lengths 15.8912, 7.6091, 6.7332 Å; angles 90.00, 92.43, 90.00 degrees
Last column: nearest neighbours and their distance in Å.
Space group C2/m (No. 12)
Unique sites:
1 Pu 0.0000 0.0000 0.0000 x2  10 Au 3.11-3.20
2 Pu 0.2042 0.5000 0.5302 x4  8 Au 3.02-3.37, 1 Pu 3.19
3 Pu 0.2441 0.0000 0.9228 x4  9 Au 3.06-3.24, 1 Pu 3.19
4 Al 0.0000 0.2833 0.5000 x4  6 Au 2.64-2.80
5 Au 0.0502 0.5000 0.2215 x4  2 Al 2.64, 4 Au 2.84-2.92
6 Au 0.0918 0.0000 0.5875 x4  2 Al 2.66, 4 Au 2.88-2.91
7 Au 0.1076 0.3059 0.8390 x8  1 Al 2.80, 4 Au 2.88-2.95, 2 Pu 3.02-3.11
8 Au 0.1503 0.1911 0.2461 x8  4 Au 2.84-2.93, 4 Pu 3.06-3.13, 1 Al 3.08

Computed properties:
V: 406.7 Å³/f.u.
magnetic moment: 1.492 μB/atom
energy: -0.4863 Ry per atom

=====

Below is crystalline PuAlAu at its relaxed geometry, with properties calculated at the PBE level.

Cell lengths 4.2661, 4.2661, 7.1777 Å; angles 90.00, 90.00, 90.00 degrees
Last column: nearest neighbours and their distance in Å.
Space group P4/nmm (No. 129, origin choice 2)
Unique sites:
1 Pu 0.2500 0.2500 0.1399 x2  5 Au 3.07-3.20, 4 Al 3.35
2 Al 0.2500 0.7500 0.5000 x2  4 Au 2.62
3 Au 0.2500 0.2500 0.7123 x2  4 Al 2.62

Computed properties:
V: 65.3 Å³/f.u.
magnetic moment: 1.905 μB/atom
energy: -0.5538 Ry per atom

=====

Below is crystalline PuAl2Au2 at its relaxed geometry, with properties calculated at the PBE level.

Cell lengths 4.3736, 4.3736, 10.5872 Å; angles 90.00, 90.00, 90.00 degrees
Last column: nearest neighbours and their distance in Å.
Space group P4/nmm (No. 129, origin choice 2)
Unique sites:
1 Pu 0.2500 0.2500 0.2486 x2  8 Al 3.33-3.45, 8 Au 3.34-3.42
2 Al 0.2500 0.2500 0.8678 x2  5 Au 2.50-2.60
3 Al 0.2500 0.7500 0.5000 x2  4 Au 2.59
4 Au 0.2500 0.2500 0.6319 x2  5 Al 2.50-2.59
5 Au 0.2500 0.7500 0.0000 x2  4 Al 2.60

Computed properties:
V: 101.3 Å³/f.u.
magnetic moment: 1.120 μB/atom
energy: -0.4542 Ry per atom